1.
Material: AlZn3Ru
Method: DFT, meta-GGA SCAN
State: single point on PBEsol structure

The structure in POSCAR format:
```
AlZn3Ru
1.0
4.505 0.000 0.000
0.000 4.505 0.000
0.000 0.000 4.505
Al Zn Ru
1 3 1
Cartesian
0.000 0.000 0.000
0.000 0.000 2.252
0.000 2.252 0.000
2.252 0.000 0.000
2.252 2.252 2.252
```

Computed properties:
As for the calculated volume: 18.284 Å³ per atom. For the raw total energy, the calculation gives -15.490 eV per atom. As for the energy relative to the elements: 1.135 eV per atom. As for the space group: Pm-3m (221).

=====

2.
Material: AlZn2Ru
Method: DFT, meta-GGA SCAN
State: single point on PBEsol structure

The structure in POSCAR format:
```
AlZn2Ru
1.0
3.186 0.000 0.000
0.000 3.938 0.000
0.000 0.000 8.518
Al Zn Ru
2 4 2
Cartesian
0.000 0.000 0.000
1.593 1.969 4.259
0.000 1.969 2.110
0.000 1.969 6.409
1.593 0.000 2.149
1.593 0.000 6.369
0.000 0.000 4.259
1.593 1.969 0.000
```

Computed properties:
As for the calculated volume: 13.358 Å³ per atom. For the raw total energy, the calculation gives -17.821 eV per atom. As for the energy relative to the elements: -0.419 eV per atom. As for the space group: Immm (71).